Material: SrHg2Au
Method: DFT, PBE
State: relaxed

Values from the calculation:
Magnetization = 0.0 μB per cell
Formation enthalpy at 0 K = -355 meV/atom
N(E_F) = 0.37 states/eV/atom
SG = No. 123

a = 3.950 Å, b = 3.950 Å, c = 6.722 Å
α = 90.00°, β = 90.00°, γ = 90.00°
Positions (direct):
Sr1 0.000 0.000 0.000
Hg1 0.500 0.500 0.279
Hg2 0.500 0.500 0.721
Au1 0.000 0.000 0.500